Record 1
Compound: ZrTiGe
Source: the Alexandria database
Functional: PBE
Structure: relaxed

Summary:
total magnetization: 0.00 Bohr magnetons per cell
SG: Cmcm
uncorrected energy: -89.57 eV for the cell shown
Fermi-level density of states: 9.36 states/eV/cell

Cell and atoms, written as extended XYZ:
```
12
Lattice="5.105 0.305 0.254 2.042 6.605 -0.995 2.033 0.377 6.670" Properties=species:S:1:pos:R:3 pbc="T T T"
Zr 2.790 1.396 2.728
Zr 6.390 5.891 3.201
Zr 4.827 4.887 5.565
Zr 4.352 2.400 0.364
Ge 2.560 3.581 4.501
Ge 2.565 6.695 0.669
Ge 6.615 0.592 5.260
Ge 6.619 3.706 1.428
Ti 3.883 4.673 2.209
Ti 3.879 1.559 6.041
Ti 5.301 5.729 -0.113
Ti 5.296 2.614 3.720
```

Record 2
Compound: TlGe
Source: the Alexandria database
Functional: PBE
Structure: relaxed

Summary:
total magnetization: 0.00 Bohr magnetons per cell
SG: C2/m
uncorrected energy: -26.95 eV for the cell shown
Fermi-level density of states: 4.36 states/eV/cell

Cell and atoms, written as extended XYZ:
```
8
Lattice="-0.044 -2.087 -8.034 -3.751 -1.294 0.357 -2.240 6.621 0.466" Properties=species:S:1:pos:R:3 pbc="T T T"
Ge -2.591 0.501 -3.180
Ge -3.444 2.739 -4.032
Ge -1.835 4.459 -3.125
Ge -0.449 0.075 -4.443
Tl -1.389 2.254 -6.425
Tl -2.144 -1.704 -6.480
Tl -0.895 2.280 -1.143
Tl -3.891 4.944 -0.731
```

Record 3
Compound: TlGe
Source: the Alexandria database
Functional: PBE
Structure: relaxed

Summary:
total magnetization: 0.00 Bohr magnetons per cell
SG: Fddd
uncorrected energy: -103.07 eV for the cell shown
Fermi-level density of states: 13.88 states/eV/cell

Cell and atoms, written as extended XYZ:
```
32
Lattice="7.010 0.000 0.000 0.000 10.211 0.000 0.000 0.000 11.726" Properties=species:S:1:pos:R:3 pbc="T T T"
Tl 3.505 2.977 0.000
Tl 1.753 5.530 2.932
Tl 0.000 2.977 5.863
Tl 5.258 4.681 2.932
Tl 1.753 0.424 8.795
Tl 5.258 9.787 8.795
Tl 5.258 0.424 2.932
Tl 3.505 7.234 0.000
Tl 1.753 4.681 8.795
Tl 1.753 9.787 2.932
Tl 5.258 5.530 8.795
Tl 3.505 2.128 5.863
Tl 0.000 2.128 0.000
Tl 3.505 8.082 5.863
Tl 0.000 7.234 5.863
Tl 0.000 8.082 0.000
Ge 6.524 2.553 8.795
Ge 2.238 0.000 0.000
Ge 4.772 5.105 5.863
Ge 3.991 7.658 2.932
Ge 1.267 5.105 0.000
Ge 3.019 7.658 8.795
Ge 6.524 7.658 2.932
Ge 3.991 2.553 8.795
Ge 4.772 0.000 0.000
Ge 0.486 2.553 2.932
Ge 5.744 0.000 5.863
Ge 0.486 7.658 8.795
Ge 3.019 2.553 2.932
Ge 2.238 5.105 5.863
Ge 1.267 0.000 5.863
Ge 5.744 5.105 0.000
```

Record 4
Compound: TlGe
Source: the Alexandria database
Functional: PBE
Structure: relaxed

Summary:
total magnetization: 0.00 Bohr magnetons per cell
SG: C2
uncorrected energy: -26.42 eV for the cell shown
Fermi-level density of states: 4.34 states/eV/cell

Cell and atoms, written as extended XYZ:
```
8
Lattice="3.966 0.000 0.001 0.000 5.635 0.000 -2.901 0.000 9.795" Properties=species:S:1:pos:R:3 pbc="T T T"
Tl 0.715 4.174 6.794
Tl 2.166 1.356 1.897
Tl -1.101 1.356 7.900
Tl 0.350 4.174 3.002
Ge 1.983 3.793 0.001
Ge 0.533 0.975 4.898
Ge -1.451 2.554 4.897
Ge 0.000 5.372 0.000
```

Record 5
Compound: TlGe
Source: the Alexandria database
Functional: PBE
Structure: relaxed

Summary:
total magnetization: 0.00 Bohr magnetons per cell
SG: F-43m
uncorrected energy: -24.21 eV for the cell shown
Fermi-level density of states: 7.37 states/eV/cell

Cell and atoms, written as extended XYZ:
```
8
Lattice="-1.013 2.150 5.907 -5.489 -3.219 0.231 3.064 -5.056 2.366" Properties=species:S:1:pos:R:3 pbc="T T T"
Tl -1.212 -4.137 1.298
Tl 0.000 0.000 0.000
Tl 1.026 -1.453 4.137
Tl -3.251 -0.535 3.069
Ge -2.072 -5.669 3.424
Ge -0.859 -1.531 2.126
Ge -4.110 -2.066 5.195
Ge 0.166 -2.984 6.262
```

Record 6
Compound: TlGe
Source: the Alexandria database
Functional: PBE
Structure: relaxed

Summary:
total magnetization: 0.00 Bohr magnetons per cell
SG: C2/m
uncorrected energy: -27.29 eV for the cell shown
Fermi-level density of states: 2.56 states/eV/cell

Cell and atoms, written as extended XYZ:
```
8
Lattice="-7.749 -2.557 3.079 1.707 -3.185 1.652 2.743 3.995 4.868" Properties=species:S:1:pos:R:3 pbc="T T T"
Ge -2.016 1.977 5.895
Ge -2.990 -0.539 2.051
Ge -0.765 -0.133 5.312
Ge -2.534 -1.613 4.287
Tl 0.679 2.452 4.025
Tl -5.685 -1.013 3.922
Tl -3.460 -0.608 7.182
Tl 0.161 -1.139 2.417
```